(1)
A relaxed structure of SmDy4ErSe8. Source: Alexandria via LeMat-Bulk, functional PBE.

Unit cell a=8.4383 b=8.4383 c=8.4295 alpha=59.97 beta=59.97 gamma=60.00
Last column: nearest neighbours and their distance in Å.
Element x y z (fractional)
1 Sm 0.3752 0.3752 0.8744  4 Se 2.78-2.79
2 Dy 0.6246 0.6246 0.1263  4 Se 2.73-2.74
3 Dy 0.9994 0.5016 0.4996  6 Se 2.88-2.90
4 Dy 0.5016 0.9994 0.4996  6 Se 2.88-2.90
5 Dy 0.9994 0.9994 0.4996  6 Se 2.88-2.90
6 Er 0.9997 0.9997 0.0009  6 Se 2.86-2.87
7 Se 0.2389 0.7795 0.7426  1 Sm 2.79, 1 Er 2.86, 2 Dy 2.88
8 Se 0.7795 0.2389 0.7426  1 Sm 2.79, 1 Er 2.86, 2 Dy 2.88
9 Se 0.2389 0.2389 0.7426  1 Sm 2.79, 1 Er 2.86, 2 Dy 2.88
10 Se 0.2406 0.2406 0.2782  1 Sm 2.78, 3 Dy 2.88
11 Se 0.7591 0.2273 0.2546  3 Dy 2.74-2.90, 1 Er 2.87
12 Se 0.2273 0.7591 0.2546  3 Dy 2.74-2.90, 1 Er 2.87
13 Se 0.7591 0.7591 0.2546  3 Dy 2.74-2.90, 1 Er 2.87
14 Se 0.7568 0.7568 0.7296  4 Dy 2.73-2.90

(2)
A relaxed structure of Sr2DyErSe4. Source: Alexandria via LeMat-Bulk, functional PBE.

Unit cell a=4.1947 b=7.2544 c=7.4421 alpha=109.02 beta=90.00 gamma=90.00
Last column: nearest neighbours and their distance in Å.
Element x y z (fractional)
1 Sr 0.5000 0.0000 0.5000  6 Se 3.07-3.08
2 Sr 0.0000 0.5000 0.5000  6 Se 3.09
3 Dy 0.5000 0.5000 0.0000  6 Se 2.91
4 Er 0.0000 0.0000 0.0000  6 Se 2.90
5 Se 0.5000 0.2411 0.2280  2 Er 2.90, 1 Dy 2.91, 3 Sr 3.08-3.09
6 Se 0.5000 0.7589 0.7720  2 Er 2.90, 1 Dy 2.91, 3 Sr 3.08-3.09
7 Se 0.0000 0.2550 0.7708  1 Er 2.90, 2 Dy 2.91, 3 Sr 3.07-3.09
8 Se 0.0000 0.7450 0.2292  1 Er 2.90, 2 Dy 2.91, 3 Sr 3.07-3.09

(3)
A relaxed structure of SrDy2ErSe4. Source: Alexandria via LeMat-Bulk, functional PBE.

Unit cell a=4.1199 b=7.1872 c=7.1829 alpha=70.94 beta=90.00 gamma=90.00
Last column: nearest neighbours and their distance in Å.
Element x y z (fractional)
1 Sr 0.5000 0.5000 0.0000  6 Se 2.99-3.00
2 Dy 0.0000 0.0000 0.0000  6 Se 2.94-2.95
3 Dy 0.5000 0.0000 0.5000  6 Se 2.86
4 Er 0.0000 0.5000 0.5000  6 Se 2.91-2.92
5 Se 0.0000 0.7602 0.7372  3 Dy 2.86-2.94, 1 Er 2.91, 2 Sr 3.00
6 Se 0.0000 0.2398 0.2628  3 Dy 2.86-2.94, 1 Er 2.91, 2 Sr 3.00
7 Se 0.5000 0.7527 0.2578  3 Dy 2.86-2.95, 2 Er 2.92, 1 Sr 2.99
8 Se 0.5000 0.2473 0.7422  3 Dy 2.86-2.95, 2 Er 2.92, 1 Sr 2.99

(4)
A relaxed structure of SrDyEr2Se4. Source: Alexandria via LeMat-Bulk, functional PBE.

Unit cell a=4.1086 b=7.1686 c=7.1684 alpha=70.94 beta=90.00 gamma=90.00
Last column: nearest neighbours and their distance in Å.
Element x y z (fractional)
1 Sr 0.5000 0.5000 0.0000  6 Se 2.99-3.01
2 Dy 0.0000 0.5000 0.5000  6 Se 2.94
3 Er 0.0000 0.0000 0.0000  6 Se 2.91
4 Er 0.5000 0.0000 0.5000  6 Se 2.84
5 Se 0.0000 0.7650 0.7376  3 Er 2.84-2.91, 1 Dy 2.94, 2 Sr 3.01
6 Se 0.0000 0.2350 0.2624  3 Er 2.84-2.91, 1 Dy 2.94, 2 Sr 3.01
7 Se 0.5000 0.7589 0.2538  3 Er 2.84-2.91, 2 Dy 2.94, 1 Sr 2.99
8 Se 0.5000 0.2411 0.7462  3 Er 2.84-2.91, 2 Dy 2.94, 1 Sr 2.99

(5)
A relaxed structure of TbDy3Er2Se6. Source: Alexandria via LeMat-Bulk, functional PBE.

Unit cell a=7.0439 b=7.0439 c=7.0569 alpha=99.53 beta=99.53 gamma=120.36
Last column: nearest neighbours and their distance in Å.
Element x y z (fractional)
1 Tb 0.0000 0.0000 0.0000  6 Se 2.88-2.90
2 Dy 0.1638 0.8362 0.5000  6 Se 2.87-2.89
3 Dy 0.8362 0.1638 0.5000  6 Se 2.87-2.89
4 Dy 0.5000 0.5000 0.5000  6 Se 2.86-2.89
5 Er 0.3339 0.6661 0.0000  6 Se 2.85-2.86
6 Er 0.6661 0.3339 0.0000  6 Se 2.85-2.86
7 Se 0.9172 0.5798 0.7511  2 Er 2.86, 3 Dy 2.88-2.89, 1 Tb 2.90
8 Se 0.7451 0.7451 0.2468  2 Er 2.85, 3 Dy 2.86-2.87, 1 Tb 2.88
9 Se 0.0828 0.4202 0.2489  2 Er 2.86, 3 Dy 2.88-2.89, 1 Tb 2.90
10 Se 0.5798 0.9172 0.7511  2 Er 2.86, 3 Dy 2.88-2.89, 1 Tb 2.90
11 Se 0.2549 0.2549 0.7532  2 Er 2.85, 3 Dy 2.86-2.87, 1 Tb 2.88
12 Se 0.4202 0.0828 0.2489  2 Er 2.86, 3 Dy 2.88-2.89, 1 Tb 2.90

(6)
A relaxed structure of TbDy2Er3Se6. Source: Alexandria via LeMat-Bulk, functional PBE.

Unit cell a=4.0446 b=8.1573 c=9.0781 alpha=103.41 beta=102.87 gamma=90.00
Last column: nearest neighbours and their distance in Å.
Element x y z (fractional)
1 Tb 0.5000 0.0000 0.0000  6 Se 2.89-2.90
2 Dy 0.8337 0.6677 0.6674  6 Se 2.87-2.89
3 Dy 0.1663 0.3323 0.3326  6 Se 2.87-2.89
4 Er 0.5000 0.5000 0.0000  6 Se 2.85
5 Er 0.8339 0.1667 0.6677  6 Se 2.84-2.86
6 Er 0.1661 0.8333 0.3323  6 Se 2.84-2.86
7 Se 0.3318 0.9186 0.6636  3 Er 2.85, 2 Dy 2.88, 1 Tb 2.89
8 Se 0.6660 0.5852 0.3321  3 Er 2.85-2.86, 3 Dy 2.88-2.89
9 Se 0.6682 0.0814 0.3364  3 Er 2.85, 2 Dy 2.88, 1 Tb 2.89
10 Se 0.9993 0.2536 0.9986  3 Er 2.84-2.85, 1 Dy 2.87, 2 Tb 2.90
11 Se 0.0007 0.7464 0.0014  3 Er 2.84-2.85, 1 Dy 2.87, 2 Tb 2.90
12 Se 0.3340 0.4148 0.6679  3 Er 2.85-2.86, 3 Dy 2.88-2.89

(7)
A relaxed structure of Tb2DyErSe6. Source: Alexandria via LeMat-Bulk, functional PBE.

Unit cell a=7.2075 b=7.2075 c=7.7016 alpha=62.10 beta=62.10 gamma=60.00
Last column: nearest neighbours and their distance in Å.
Element x y z (fractional)
1 Tb 0.5148 0.5148 0.4556  6 Se 2.85-2.92
2 Tb 0.0152 0.0152 0.9545  6 Se 2.86-2.92
3 Dy 0.3184 0.3184 0.0447  6 Se 2.84-2.91
4 Er 0.8189 0.8190 0.5430  6 Se 2.82-2.88
5 Se 0.6100 0.2172 0.2536  1 Dy 2.84, 2 Tb 2.85-2.92, 1 Er 2.88
6 Se 0.2171 0.9192 0.2536  1 Dy 2.84, 2 Tb 2.85-2.92, 1 Er 2.88
7 Se 0.9193 0.6101 0.2536  1 Dy 2.84, 2 Tb 2.85-2.92, 1 Er 2.88
8 Se 0.4218 0.7186 0.7522  1 Er 2.82, 2 Tb 2.86-2.92, 1 Dy 2.91
9 Se 0.7187 0.1072 0.7522  1 Er 2.82, 2 Tb 2.86-2.92, 1 Dy 2.91
10 Se 0.1073 0.4219 0.7522  1 Er 2.82, 2 Tb 2.86-2.92, 1 Dy 2.91

(8)
A relaxed structure of TbDy4ErSe8. Source: Alexandria via LeMat-Bulk, functional PBE.

Unit cell a=8.4123 b=8.4123 c=8.4054 alpha=59.97 beta=59.97 gamma=60.00
Last column: nearest neighbours and their distance in Å.
Element x y z (fractional)
1 Tb 0.3753 0.3753 0.8742  4 Se 2.74
2 Dy 0.6246 0.6246 0.1262  4 Se 2.72-2.73
3 Dy 0.9998 0.5004 0.4999  6 Se 2.89
4 Dy 0.5004 0.9998 0.4999  6 Se 2.89
5 Dy 0.9998 0.9998 0.4999  6 Se 2.89
6 Er 0.0000 0.0000 0.0001  6 Se 2.86-2.87
7 Se 0.2405 0.7747 0.7444  1 Tb 2.74, 1 Er 2.86, 2 Dy 2.89
8 Se 0.7747 0.2405 0.7444  1 Tb 2.74, 1 Er 2.86, 2 Dy 2.89
9 Se 0.2405 0.2405 0.7444  1 Tb 2.74, 1 Er 2.86, 2 Dy 2.89
10 Se 0.2424 0.2424 0.2729  1 Tb 2.74, 3 Dy 2.89
11 Se 0.7592 0.2267 0.2549  3 Dy 2.73-2.89, 1 Er 2.87
12 Se 0.2267 0.7592 0.2549  3 Dy 2.73-2.89, 1 Er 2.87
13 Se 0.7592 0.7592 0.2549  3 Dy 2.73-2.89, 1 Er 2.87
14 Se 0.7570 0.7570 0.7290  4 Dy 2.72-2.89

no.,raw formation energy (eV per atom)
1,-1.71
2,-1.87
3,-1.78
4,-1.77
5,-1.74
6,-1.73
7,-1.85
8,-1.71